## Ac7Sn2Ir2 (GGA-PBE)

Data for a relaxed Ac7Sn2Ir2 crystal.

Calculated values
The calculation puts the energy relative to the lowest polymorph listed for this composition at 36.4 meV per atom. Its formation energy is -0.473 eV/atom. As for the space group: Cmmm, No. 65. For the volume, the calculation gives 406 Å³/cell.

a b c (Å): 7.4936 7.6048 7.4936
angles (deg): 90.00 108.00 90.00
Last column: nearest neighbours and their distance in Å.
Atoms (fractional coordinates):
Ir (0.2891, 0.0000, 0.7109)  6 Ac 2.96-3.14
Ac (0.0002, 0.7473, 0.4997)  2 Ir 2.96
Ir (0.7109, 0.0000, 0.2891)  6 Ac 2.96-3.14
Ac (0.9998, 0.2527, 0.5003)  2 Ir 2.96
Ac (0.4998, 0.2398, 0.5002)  2 Ir 3.14
Ac (0.0000, 0.0000, 0.0000)  2 Ir 3.50
Ac (0.5003, 0.7473, 0.9998)  2 Ir 2.96
Ac (0.4997, 0.2527, 0.0002)  2 Ir 2.96
Sn (0.1677, 0.5000, 0.1677)  1 Sn 2.96
Ac (0.5002, 0.7602, 0.4998)  2 Ir 3.14
Sn (0.8323, 0.5000, 0.8323)  1 Sn 2.96

## LiAc2AlSe5 (GGA-PBE)

Data for a relaxed LiAc2AlSe5 crystal.

Calculated values
As for the space group: Cmc2_1, No. 36. As for the calculated total energy: -5.08 eV/atom. For the volume, the calculation gives 473 Å³/cell.

a b c (Å): 4.2028 9.3934 12.2857
angles (deg): 90.00 90.00 102.93
Last column: nearest neighbours and their distance in Å.
Atoms (fractional coordinates):
Se (0.3558, 0.7116, 0.0007)  1 Li 2.61
Se (0.9561, 0.9123, 0.5526)  2 Al 2.49
Al (0.4304, 0.8608, 0.4511)  4 Se 2.40-2.49
Se (0.5019, 0.0038, 0.7812)  1 Al 2.43
Ac (0.1317, 0.2635, 0.3064)  7 Se 3.06-3.40
Ac (0.1236, 0.2473, 0.6856)  8 Se 3.12-3.48
Ac (0.8683, 0.7365, 0.8064)  7 Se 3.06-3.40
Se (0.6442, 0.2884, 0.5007)  1 Li 2.61
Se (0.6864, 0.3728, 0.8617)  1 Al 2.40
Li (0.7861, 0.5722, 0.5215)  5 Se 2.61-2.92
Se (0.7056, 0.4113, 0.1632)  2 Li 2.73, 2 Ac 3.06
Ac (0.8764, 0.7527, 0.1856)  8 Se 3.12-3.48
Al (0.5696, 0.1392, 0.9511)  4 Se 2.40-2.49
Se (0.3136, 0.6272, 0.3617)  1 Al 2.40
Se (0.2944, 0.5887, 0.6632)  2 Li 2.73, 2 Ac 3.06
Li (0.2139, 0.4278, 0.0215)  5 Se 2.61-2.92
Se (0.0439, 0.0877, 0.0526)  2 Al 2.49
Se (0.4981, 0.9962, 0.2812)  1 Al 2.43

## TlIn4Hg4 (GGA-PBE)

Data for a relaxed TlIn4Hg4 crystal.

Calculated values
The calculation puts the energy relative to the lowest polymorph listed for this composition at 0.0 meV per atom. Its formation energy is 0.019 eV/atom. As for the space group: I4/mmm, No. 139. For the volume, the calculation gives 242 Å³/cell.

a b c (Å): 4.7309 7.5399 7.5400
angles (deg): 84.35 71.72 71.72
Last column: nearest neighbours and their distance in Å.
Atoms (fractional coordinates):
In (0.6665, 0.3334, 0.3336)  6 Hg 3.34-3.36, 5 In 3.36-3.37, 1 Tl 3.38
Tl (0.0000, 0.0000, 0.0000)  4 In 3.38, 8 Hg 3.40
Hg (0.3297, 0.0002, 0.3403)  4 Hg 3.29-3.45, 6 In 3.34-3.36, 2 Tl 3.40
Hg (0.6703, 0.9998, 0.6597)  4 Hg 3.29-3.45, 6 In 3.34-3.36, 2 Tl 3.40
Hg (0.3300, 0.3403, 0.9998)  4 Hg 3.29-3.45, 6 In 3.34-3.36, 2 Tl 3.40
In (0.3335, 0.6666, 0.6664)  6 Hg 3.34-3.36, 5 In 3.36-3.37, 1 Tl 3.38
In (0.0001, 0.6664, 0.3334)  6 Hg 3.34-3.36, 5 In 3.36-3.37, 1 Tl 3.38
Hg (0.6700, 0.6597, 0.0002)  4 Hg 3.29-3.45, 6 In 3.34-3.36, 2 Tl 3.40
In (0.9999, 0.3336, 0.6666)  6 Hg 3.34-3.36, 5 In 3.36-3.37, 1 Tl 3.38

## LiMnW2 (GGA-PBE)

Data for a relaxed LiMnW2 crystal.

Calculated values
The calculation puts the energy relative to the lowest polymorph listed for this composition at 31.9 meV per atom. Its formation energy is 0.365 eV/atom. As for the space group: Pm, No. 6. For the volume, the calculation gives 56 Å³/cell.

a b c (Å): 4.2904 2.6180 5.0098
angles (deg): 80.70 90.00 90.00
Last column: nearest neighbours and their distance in Å.
Atoms (fractional coordinates):
Mn (0.5000, 0.7322, 0.7557)  4 W 2.55-2.67, 2 Li 2.58, 2 Mn 2.62
W (0.5000, 0.2377, 0.2648)  2 Mn 2.60-2.67, 4 W 2.62-2.73, 2 Li 2.64
Li (0.0000, 0.5547, 0.4997)  2 Mn 2.58, 2 Li 2.62, 5 W 2.63-2.80
W (0.0000, 0.9754, 0.9797)  2 Mn 2.55, 4 W 2.62-2.73, 3 Li 2.63-2.80

## Tl2FeRh (GGA-PBE)

Data for a relaxed Tl2FeRh crystal.

Calculated values
The calculation puts the energy relative to the lowest polymorph listed for this composition at 90.7 meV per atom. Its formation energy is 0.354 eV/atom. As for the space group: Imm2, No. 44. For the volume, the calculation gives 80 Å³/cell.

a b c (Å): 6.3279 6.3279 6.3279
angles (deg): 152.04 137.15 51.95
Last column: nearest neighbours and their distance in Å.
Atoms (fractional coordinates):
Fe (0.5489, 0.5489, 0.0000)  2 Rh 2.57
Tl (0.9697, 0.9697, 0.0000)  4 Fe 2.91, 2 Tl 3.06, 2 Rh 3.13
Tl (0.2512, 0.7512, 0.5000)  4 Rh 2.78, 2 Tl 3.06
Rh (0.7302, 0.2302, 0.5000)  2 Fe 2.57, 4 Tl 2.78

## SmGa8Pd2 (GGA-PBE)

Data for a relaxed SmGa8Pd2 crystal.

Calculated values
Its formation energy is -0.129 eV/atom. As for the space group: P4/mmm, No. 123. For the volume, the calculation gives 256 Å³/cell.

a b c (Å): 5.6883 5.6883 7.9009
angles (deg): 90.00 90.00 90.00
Last column: nearest neighbours and their distance in Å.
Atoms (fractional coordinates):
Ga (0.2435, 0.2435, 0.7878)  2 Pd 2.62, 4 Ga 2.77-2.92
Ga (0.7565, 0.2435, 0.7878)  2 Pd 2.62, 4 Ga 2.77-2.92
Ga (0.2435, 0.7565, 0.7878)  2 Pd 2.62, 4 Ga 2.77-2.92
Ga (0.2435, 0.7565, 0.2122)  2 Pd 2.62, 4 Ga 2.77-2.92
Ga (0.7565, 0.7565, 0.2122)  2 Pd 2.62, 4 Ga 2.77-2.92
Ga (0.2435, 0.2435, 0.2122)  2 Pd 2.62, 4 Ga 2.77-2.92
Pd (0.0000, 0.5000, 0.0000)  8 Ga 2.62
Pd (0.5000, 0.0000, 0.0000)  8 Ga 2.62
Sm (0.5000, 0.5000, 0.5000)  8 Ga 3.07
Ga (0.7565, 0.7565, 0.7878)  2 Pd 2.62, 4 Ga 2.77-2.92
Ga (0.7565, 0.2435, 0.2122)  2 Pd 2.62, 4 Ga 2.77-2.92

## K2NaCaBr5 (GGA-PBE)

Data for a relaxed K2NaCaBr5 crystal.

Calculated values
As for the space group: Cmc2_1, No. 36. As for the calculated total energy: -3.33 eV/atom. For the volume, the calculation gives 627 Å³/cell.

a b c (Å): 4.4288 9.6457 15.0716
angles (deg): 90.00 90.00 103.27
Last column: nearest neighbours and their distance in Å.
Atoms (fractional coordinates):
Br (0.9257, 0.8514, 0.5602)  2 Na 2.84, 1 Ca 2.89
Br (0.0743, 0.1485, 0.0602)  2 Na 2.84, 1 Ca 2.89
Na (0.5429, 0.0858, 0.9492)  4 Br 2.79-3.11
Br (0.6227, 0.2454, 0.4942)  1 Ca 2.89, 1 Na 3.18
K (0.0854, 0.1708, 0.6574)  6 Br 3.27-3.38
Ca (0.7742, 0.5483, 0.5277)  6 Br 2.89-3.00
K (0.8661, 0.7321, 0.7994)  7 Br 3.34-3.68
Na (0.4571, 0.9142, 0.4492)  4 Br 2.79-3.11
K (0.9146, 0.8292, 0.1574)  6 Br 3.27-3.38
Br (0.7041, 0.4081, 0.9020)  2 Ca 2.94, 1 Na 3.11
Br (0.5027, 0.0054, 0.2729)  1 Na 2.79
K (0.1339, 0.2679, 0.2994)  7 Br 3.34-3.68
Br (0.2959, 0.5919, 0.4020)  2 Ca 2.94, 1 Na 3.11
Br (0.3773, 0.7546, 0.9942)  1 Ca 2.89, 1 Na 3.18
Br (0.2623, 0.5245, 0.6609)  2 Ca 3.00, 1 K 3.32
Br (0.7377, 0.4755, 0.1609)  2 Ca 3.00, 1 K 3.32
Br (0.4973, 0.9946, 0.7729)  1 Na 2.79
Ca (0.2258, 0.4517, 0.0277)  6 Br 2.89-3.00

## ZrCrCo2H (GGA-PBE)

Data for a relaxed ZrCrCo2H crystal.

Calculated values
The calculation puts the energy relative to the lowest polymorph listed for this composition at 0.0 meV per atom. As for the space group: P4/mmm, No. 123. For the volume, the calculation gives 58 Å³/cell.

a b c (Å): 3.9753 3.9753 3.6426
angles (deg): 90.00 90.00 90.00
Last column: nearest neighbours and their distance in Å.
Atoms (fractional coordinates):
Co (0.0000, 0.5000, 0.0000)  2 H 1.99
H (0.0000, 0.0000, 0.0000)  2 Cr 1.82, 4 Co 1.99
Zr (0.5000, 0.5000, 0.5000)  8 Co 2.70, 4 Cr 2.81
Cr (0.0000, 0.0000, 0.5000)  2 H 1.82
Co (0.5000, 0.0000, 0.0000)  2 H 1.99

- The lowest volume belongs to which entry?
  LiMnW2

- Among the records above, which one has the lowest volume?
  LiMnW2

- volume of number 5 (Tl2FeRh)?
  80 Å³/cell

- volume of number 3 (TlIn4Hg4)?
  242 Å³/cell